# 1
CaLa2Pm2 after structural relaxation, computed with PBE.

Results
Raw total energy in eV per atom: -4.248
Polymorph energy (0 for the lowest one) in eV/atom: 0.000
Total moment in μB/f.u.: 0.00
ΔH_f (0 K) in eV/atom: 0.024

abc: 3.7162 3.7162 46.1938
angles: 90.00 90.00 120.00
Space group R-3m (No. 166, hexagonal axes)
Unique sites:
Ca 0.0000 0.0000 0.0000
La 0.0000 0.0000 0.4039
Pm 0.0000 0.0000 0.1990

# 2
Ca2La4Pm3 after structural relaxation, computed with PBE.

Results
Raw total energy in eV per atom: -4.156
Total moment in μB/f.u.: 0.00
ΔH_f (0 K) in eV/atom: 0.062

abc: 6.4816 6.4834 9.8019
angles: 71.19 71.30 60.05
Space group P-1 (No. 2)
Unique sites:
Ca 0.0540 0.3924 0.3332
La 0.1751 0.1496 0.0001
La 0.2866 0.9288 0.6715
Pm 0.4000 0.7233 0.3288
Pm 0.5000 0.5000 0.0000